1.
KY2Rh PBE optimized geometry; total energy = -5.6452 eV per atom; ΔE to the lowest computed polymorph = 6 meV/atom; SG = R-3m
1.0
-4.8101 -4.8470 7.7128
-6.9784 -6.1349 4.4477
-3.4532 -8.0248 5.4586
K Rh Y
1 1 2
Direct
0.7500 0.7500 0.7500 K
0.2500 0.2500 0.2500 Rh
0.9634 0.9634 0.9634 Y
0.5366 0.5366 0.5366 Y

2.
K4YRh PBE optimized geometry; total energy = -2.0880 eV per atom; SG = F-43m
1.0
0.0000 4.8921 4.8921
4.8921 0.0000 4.8921
4.8921 4.8921 0.0000
K Y Rh
4 1 1
Direct
0.8665 0.3778 0.3778 K
0.3778 0.3778 0.8665 K
0.3778 0.8665 0.3778 K
0.3778 0.3778 0.3778 K
0.0000 0.0000 0.0000 Y
0.7500 0.7500 0.7500 Rh

3.
KYRh2 PBE optimized geometry; total energy = -5.6216 eV per atom; ΔE to the lowest computed polymorph = 8 meV/atom; SG = Cm
1.0
4.3774 0.0098 0.0027
2.1821 3.7948 0.0027
2.1900 1.2702 7.5537
K Rh Y
1 2 1
Direct
0.2786 0.2786 0.1619 K
0.0530 0.0530 0.8414 Rh
0.7195 0.7195 0.8422 Rh
0.4489 0.4489 0.6545 Y

4.
KYRh2 PBE optimized geometry; total energy = -5.6294 eV per atom; ΔE to the lowest computed polymorph = 0 meV/atom; SG = P4/mmm
1.0
3.4424 0.0000 0.0000
0.0000 3.4424 0.0000
0.0000 0.0000 7.8066
K Rh Y
1 2 1
Direct
0.5000 0.5000 0.7500 K
0.0000 0.0000 0.0580 Rh
0.0000 0.0000 0.4420 Rh
0.5000 0.5000 0.2500 Y

5.
KYRh2 PBE optimized geometry; total energy = -5.4875 eV per atom; ΔE to the lowest computed polymorph = 142 meV/atom; SG = C2/m
1.0
-2.6832 2.5716 -2.9185
-4.4117 1.6655 -0.3058
1.0985 6.5432 2.9959
K Rh Y
1 2 1
Direct
0.2500 0.2500 0.2500 K
0.0136 0.0136 0.9057 Rh
0.4864 0.4864 0.5943 Rh
0.7500 0.7500 0.7500 Y

6.
KY2Rh PBE optimized geometry; total energy = -5.4824 eV per atom; ΔE to the lowest computed polymorph = 169 meV/atom; SG = Imm2
1.0
10.8423 0.0815 -0.0240
9.5571 5.1209 0.0240
-10.1812 -2.6738 2.5994
K Rh Y
1 1 2
Direct
0.5623 0.5623 0.0000 K
0.7995 0.2995 0.5000 Rh
0.8953 0.8953 0.0000 Y
0.2429 0.7429 0.5000 Y

7.
KY2Rh PBE optimized geometry; total energy = -4.9156 eV per atom; ΔE to the lowest computed polymorph = 735 meV/atom; SG = C2/m
1.0
-5.9513 0.0867 -1.0942
3.5538 -4.4072 -2.6549
-1.2081 -2.5458 1.9129
K Rh Y
1 1 2
Direct
0.5000 0.5000 0.0000 K
0.5000 0.0000 0.5000 Rh
0.0000 0.0000 0.0000 Y
0.0000 0.5000 0.5000 Y

8.
K2Y2Rh PBE optimized geometry; total energy = -3.4565 eV per atom; ΔE to the lowest computed polymorph = 150 meV/atom; SG = I4/mmm
1.0
4.3824 0.0000 0.0000
0.0000 4.3824 0.0000
2.1912 2.1912 10.3126
Y K Rh
2 2 1
Direct
0.7500 0.2500 0.5000 Y
0.2500 0.7500 0.5000 Y
0.4194 0.4194 0.1612 K
0.5806 0.5806 0.8388 K
0.0000 0.0000 0.0000 Rh

9.
K2Y2Rh PBE optimized geometry; total energy = -3.6065 eV per atom; ΔE to the lowest computed polymorph = 0 meV/atom; SG = P4/mbm
1.0
7.3641 0.0000 0.0000
0.0000 7.3641 0.0000
0.0000 0.0000 5.8279
Y K Rh
4 4 2
Direct
0.1928 0.6928 0.5000 Y
0.6928 0.8072 0.5000 Y
0.8072 0.3072 0.5000 Y
0.3072 0.1928 0.5000 Y
0.3628 0.8628 0.0000 K
0.8628 0.6372 0.0000 K
0.6372 0.1372 0.0000 K
0.1372 0.3628 0.0000 K
0.0000 0.0000 0.0000 Rh
0.5000 0.5000 0.0000 Rh

10.
KYRh2 PBE optimized geometry; total energy = -5.3952 eV per atom; ΔE to the lowest computed polymorph = 234 meV/atom; SG = Fm-3m
1.0
0.0000 3.4712 3.4712
3.4712 0.0000 3.4712
3.4712 3.4712 0.0000
Y K Rh
1 1 2
Direct
0.5000 0.5000 0.5000 Y
0.0000 0.0000 0.0000 K
0.2500 0.2500 0.2500 Rh
0.7500 0.7500 0.7500 Rh

11.
KYRh4 PBE optimized geometry; total energy = -6.2706 eV per atom; SG = F-43m
1.0
-3.2723 -4.1283 -1.1368
-4.6631 0.8818 -2.5536
-0.6255 -1.6166 -5.1028
K Y Rh
1 1 4
Direct
0.0000 0.0000 0.0000 K
0.7500 0.7500 0.7500 Y
0.8740 0.3753 0.3753 Rh
0.3753 0.3753 0.8740 Rh
0.3753 0.8740 0.3753 Rh
0.3753 0.3753 0.3753 Rh

12.
KYRh2 PBE optimized geometry; total energy = -5.3677 eV per atom; ΔE to the lowest computed polymorph = 262 meV/atom; SG = P4/mmm
1.0
4.8801 -0.0136 0.0000
0.0185 4.8801 0.0000
0.0000 0.0000 3.5262
K Rh Y
1 2 1
Direct
0.0000 0.5000 0.5000 K
0.0000 0.0000 0.0000 Rh
0.5000 0.5000 0.0000 Rh
0.5000 0.0000 0.5000 Y

13.
KY2Rh PBE optimized geometry; total energy = -5.6511 eV per atom; ΔE to the lowest computed polymorph = 0 meV/atom; SG = Cm
1.0
4.1278 -0.0221 0.0046
2.0850 3.5626 0.0046
2.1249 1.2109 9.9739
K Rh Y
1 1 2
Direct
0.5000 0.5000 0.4983 K
0.6667 0.6667 0.0005 Rh
0.0485 0.0485 0.8599 Y
0.2848 0.2848 0.1413 Y

14.
KYRh3 PBE optimized geometry; total energy = -5.0486 eV per atom; ΔE to the lowest computed polymorph = 0 meV/atom; SG = Pm-3m
1.0
-3.5815 3.3465 -1.3642
-2.6720 -1.1589 4.1719
2.4332 3.6531 2.5732
Y K Rh
1 1 3
Direct
0.0000 0.0000 0.0000 Y
0.5000 0.5000 0.5000 K
0.0000 0.5000 0.0000 Rh
0.0000 0.0000 0.5000 Rh
0.5000 0.0000 0.0000 Rh

15.
KYRh PBE optimized geometry; total energy = -4.9243 eV per atom; SG = P3m1
1.0
3.9973 0.0000 0.0000
-1.9987 3.4618 0.0000
0.0000 0.0000 7.4929
K Rh Y
1 1 1
Direct
0.0000 0.0000 0.0664 K
0.3333 0.6667 0.3778 Rh
0.6667 0.3333 0.5558 Y

16.
KYRh2 PBE optimized geometry; total energy = -5.3703 eV per atom; ΔE to the lowest computed polymorph = 259 meV/atom; SG = Imm2
1.0
-3.5419 4.8682 1.1563
-2.7995 0.7003 5.4087
5.1624 -0.5406 -3.2617
K Rh Y
1 2 1
Direct
0.2399 0.7399 0.5000 K
0.9635 0.9635 0.0000 Rh
0.7632 0.2632 0.5000 Rh
0.5333 0.5333 0.0000 Y

17.
KY3Rh PBE optimized geometry; total energy = -4.0855 eV per atom; ΔE to the lowest computed polymorph = 1615 meV/atom; SG = Pm-3m
1.0
-1.2685 -4.9192 -0.6064
3.8585 -0.5873 -3.3079
3.1110 -1.2775 3.8555
Y K Rh
3 1 1
Direct
0.0000 0.5000 0.0000 Y
0.0000 0.0000 0.5000 Y
0.5000 0.0000 0.0000 Y
0.0000 0.0000 0.0000 K
0.5000 0.5000 0.5000 Rh

18.
KZnRh2 PBE optimized geometry; total energy = -3.6506 eV per atom; SG = F-43m
1.0
-2.5480 -2.6680 2.8344
1.8101 -3.8146 -1.9537
2.8029 3.2645 1.7695
K Rh Zn
1 2 1
Direct
0.7500 0.2500 0.5000 K
0.0000 0.0000 0.0000 Rh
0.2500 0.7500 0.5000 Rh
0.5000 0.5000 0.0000 Zn

19.
K3ZnRh PBE optimized geometry; total energy = -1.8133 eV per atom; SG = Pm-3m
1.0
-1.7520 -4.1886 3.9919
3.0125 -4.2214 -3.1072
4.9401 1.0887 3.3105
Zn Rh K
1 1 3
Direct
0.5000 0.5000 0.5000 Zn
0.0000 0.0000 0.0000 Rh
0.0000 0.5000 0.0000 K
0.0000 0.0000 0.5000 K
0.5000 0.0000 0.0000 K

20.
KZnRh4 PBE optimized geometry; total energy = -4.8702 eV per atom; SG = F-43m
1.0
-3.0104 -2.3711 -3.6456
-4.4670 2.3042 -1.6468
-0.2991 1.9969 -4.8886
K Zn Rh
1 1 4
Direct
0.0000 0.0000 0.0000 K
0.7500 0.7500 0.7500 Zn
0.8731 0.3756 0.3756 Rh
0.3756 0.3756 0.8731 Rh
0.3756 0.8731 0.3756 Rh
0.3756 0.3756 0.3756 Rh

no.,energy relative to the elements (meV/atom)
1,-300.9
2,946.3
3,-55.5
4,-63.3
5,78.7
6,-138.1
7,428.6
8,1038.4
9,888.4
10,170.9
11,-109.4
12,198.5
13,-306.8
14,874.6
15,46.7
16,195.8
17,1482.7
18,618.0
19,570.3
20,426.0